Arrangement P

Computed, not measured: a geometry-optimized Ba8Zn2Ga structure at the GGA-PBE level of DFT.

```
Ba8Zn2Ga
1.0
-1.006 3.045 -5.029
-6.910 3.102 3.261
8.305 5.069 4.944
Ba Ga Zn
8 1 2
Direct
0.409 0.564 0.817
0.333 0.032 0.665
0.795 0.677 0.591
0.205 0.323 0.409
0.667 0.968 0.335
0.591 0.436 0.183
0.965 0.195 0.929
0.035 0.805 0.071
0.500 0.000 0.000
0.813 0.287 0.626
0.187 0.713 0.374
```

Summary:
total magnetic moment: 0.000 μB/atom


Arrangement Q

Computed, not measured: a geometry-optimized Ba8Zn2Ga structure at the GGA-PBE level of DFT.

```
Ba8Zn2Ga
1.0
-7.293 -0.549 -1.064
3.113 -4.552 -7.256
0.961 -4.853 7.654
Ba Ga Zn
8 1 2
Direct
0.980 0.199 0.791
0.358 0.660 0.932
0.182 0.354 0.354
0.584 0.343 0.078
0.584 0.078 0.343
0.799 0.652 0.652
0.980 0.791 0.199
0.358 0.932 0.660
0.204 0.007 0.007
0.486 0.694 0.324
0.486 0.324 0.694
```

Summary:
total magnetic moment: 0.000 μB/atom


Which is most stable, and by how much? arrangement P, by 39 meV/atom.


Arrangement P

Computed, not measured: a geometry-optimized Ba3ZnGa structure at the GGA-PBE level of DFT.

```
Ba3ZnGa
1.0
0.950 -5.768 0.573
3.225 0.044 -4.907
9.989 -0.694 6.558
Ba Ga Zn
6 2 2
Direct
0.575 0.250 0.499
0.903 0.750 0.842
0.073 0.750 0.501
0.745 0.250 0.158
0.405 0.250 0.838
0.243 0.750 0.162
0.984 0.250 0.680
0.664 0.750 0.320
0.486 0.750 0.677
0.163 0.250 0.323
```

Summary:
total magnetic moment: 0.000 μB/atom


Arrangement Q

Computed, not measured: a geometry-optimized Ba3ZnGa structure at the GGA-PBE level of DFT.

```
Ba3ZnGa
1.0
-9.429 -0.462 1.396
-0.619 -8.595 -3.685
0.959 -3.093 8.795
Ba Ga Zn
12 4 4
Direct
0.077 0.679 0.577
0.423 0.423 0.321
0.681 0.969 0.594
0.941 0.900 0.220
0.059 0.100 0.780
0.319 0.031 0.406
0.923 0.321 0.423
0.559 0.780 0.100
0.441 0.220 0.900
0.577 0.577 0.679
0.819 0.406 0.031
0.181 0.594 0.969
0.750 0.632 0.368
0.750 0.049 0.951
0.250 0.368 0.632
0.250 0.951 0.049
0.645 0.124 0.219
0.855 0.781 0.876
0.145 0.219 0.124
0.355 0.876 0.781
```

Summary:
total magnetic moment: 0.000 μB/atom


Arrangement R

Computed, not measured: a geometry-optimized Ba3ZnGa structure at the GGA-PBE level of DFT.

```
Ba3ZnGa
1.0
6.467 0.000 0.000
0.000 6.467 0.000
0.000 0.000 6.467
Ba Zn Ga
3 1 1
Direct
0.000 0.500 0.000
0.500 0.000 0.000
0.000 0.000 0.500
0.500 0.500 0.500
0.000 0.000 0.000
```

Summary:
total magnetic moment: 0.289 μB/atom


Which is most stable, and by how much? arrangement P, by 90 meV/atom.